No. 1
DFT (GGA-PBE) results for a relaxed structure of BaSr2LiPt.

Calculated values
- calculated formation energy (eV/atom) = -0.374
- offset from the most stable computed form (eV per formula unit) = 0.00
- theoretical density (kg/m³) = 3847
- E (eV for the cell shown) = -15.112
- space group = P4/mmm, No. 123

abc: 5.981 5.981 6.210
angles: 90.00 90.00 90.00
Sites, in units of the cell vectors:
Pt  0.000  0.000  0.000
Sr  0.500  0.000  0.000
Li  0.500  0.500  0.500
Sr  0.000  0.500  0.000
Ba  0.000  0.000  0.500

***

No. 2
DFT (GGA-PBE) results for a relaxed structure of Ba2SrLiPt.

Calculated values
- calculated formation energy (eV/atom) = -0.232
- offset from the most stable computed form (eV per formula unit) = 0.65
- theoretical density (kg/m³) = 4443
- E (eV for the cell shown) = -14.642
- space group = P4/mmm, No. 123

abc: 6.268 6.268 5.367
angles: 90.00 90.00 90.00
Sites, in units of the cell vectors:
Sr  0.500  0.500  0.500
Ba  0.000  0.500  0.000
Ba  0.500  0.000  0.000
Li  0.000  0.000  0.500
Pt  0.000  0.000  0.000

***

No. 3
DFT (GGA-PBE) results for a relaxed structure of Ba2Li6TlPt.

Calculated values
- calculated formation energy (eV/atom) = -0.160
- theoretical density (kg/m³) = 4253
- E (eV for the cell shown) = -25.333
- space group = C2/m, No. 12

abc: 7.344 7.349 7.341
angles: 59.92 59.95 90.06
Sites, in units of the cell vectors:
Ba  0.750  0.250  0.500
Li  0.265  0.265  0.471
Tl  0.000  0.000  0.000
Pt  0.500  0.500  0.000
Li  0.735  0.736  0.000
Ba  0.250  0.750  0.500
Li  0.265  0.736  0.000
Li  0.735  0.264  0.000
Li  0.265  0.264  0.000
Li  0.735  0.735  0.529

***

No. 4
DFT (GGA-PBE) results for a relaxed structure of Ba2LiTlPt.

Calculated values
- calculated formation energy (eV/atom) = -0.402
- offset from the most stable computed form (eV per formula unit) = 0.00
- theoretical density (kg/m³) = 6100
- E (eV for the cell shown) = -16.175
- space group = P4/mmm, No. 123

abc: 6.178 6.178 4.858
angles: 90.00 90.00 90.00
Sites, in units of the cell vectors:
Ba  0.000  0.500  0.000
Ba  0.500  0.000  0.000
Pt  0.000  0.000  0.000
Li  0.000  0.000  0.500
Tl  0.500  0.500  0.500

***

Number 2 is which compound? Ba2SrLiPt